Compound: PaBeAlO6
Source: the Alexandria database
Functional: GGA-PBE
Structure: relaxed

abc: 4.830 4.830 4.745
angles: 90.00 90.00 120.00
Atoms (fractional coordinates):
1 Pa 0.000 0.000 0.000
2 Be 0.667 0.333 0.500
3 Al 0.333 0.667 0.500
4 O 0.361 0.007 0.719
5 O 0.361 0.354 0.281
6 O 0.646 0.007 0.281
7 O 0.646 0.639 0.719
8 O 0.993 0.354 0.719
9 O 0.993 0.639 0.281

Properties
Crystal system = trigonal
Total magnetic moment = 1.7 μB/f.u.
Formation energy from raw total energies = -2.4705 eV/atom
Volume = 96 Å³/cell
Space-group type = No. 149